1.
Entry from the Alexandria database: Ce5RuRh2 after structural relaxation (PBE-GGA).

Calculated values
Space-group type ... No. 63
Crystal system ... orthorhombic
Energy relative to the elements ... -0.3755 eV per atom
Magnetization ... 0.0557 μB per atom
Calculated total energy ... -56.7 eV per formula unit

```
Ce5RuRh2
1.0
-2.353 3.772 2.617
-1.907 -1.072 -5.254
-9.323 -9.510 5.325
Ce Rh Ru
10 4 2
direct
0.089 0.177 0.397
0.571 0.143 0.585
0.089 0.177 0.103
0.911 0.823 0.897
0.429 0.857 0.085
0.429 0.857 0.415
0.746 0.491 0.250
0.254 0.509 0.750
0.911 0.823 0.603
0.571 0.143 0.915
0.754 0.508 0.436
0.754 0.508 0.064
0.246 0.492 0.564
0.246 0.492 0.936
0.283 0.567 0.250
0.717 0.433 0.750
```

2.
Entry from the Alexandria database: ThH2 after structural relaxation (PBE-GGA).

Calculated values
Space-group type ... No. 225
Crystal system ... cubic
Magnetization ... 0.0000 μB per atom
Calculated total energy ... -15.6 eV per formula unit

```
ThH2
1.0
3.867 0.000 0.000
1.933 3.349 0.000
1.933 1.116 3.157
H Th
2 1
direct
0.750 0.750 0.750
0.250 0.250 0.250
0.000 0.000 0.000
```

3.
Entry from the Alexandria database: CeGa2Ni2H after structural relaxation (PBE-GGA).

Calculated values
Space-group type ... No. 139
Crystal system ... tetragonal
Magnetization ... 0.1039 μB per atom
Calculated total energy ... -29.4 eV per formula unit

```
CeGa2Ni2H
1.0
-1.647 0.381 3.647
3.068 -2.048 1.599
2.127 5.687 -1.849
Ga H Ce Ni
2 1 1 2
direct
0.250 0.750 0.500
0.750 0.250 0.500
0.000 0.000 0.000
0.500 0.500 0.000
0.866 0.866 0.733
0.134 0.134 0.267
```

4.
Entry from the Alexandria database: TlCd2Au after structural relaxation (PBE-GGA).

Calculated values
Space-group type ... No. 1
Crystal system ... triclinic
Energy relative to the elements ... -0.0246 eV per atom
Magnetization ... 0.0000 μB per atom
Energy relative to the lowest polymorph listed for this composition ... 0.27 eV per formula unit
Calculated total energy ... -7.6 eV per formula unit

```
TlCd2Au
1.0
3.540 0.015 0.066
1.765 4.773 0.095
1.768 1.004 5.773
Au Cd Tl
1 2 1
direct
0.972 0.113 0.261
0.579 0.660 0.486
0.341 0.572 0.066
0.727 0.066 0.790
```

5.
Entry from the Alexandria database: Pm3DyY2S6 after structural relaxation (PBE-GGA).

Calculated values
Space-group type ... No. 12
Crystal system ... monoclinic
Magnetization ... 0.0000 μB per atom
Calculated total energy ... -80.8 eV per formula unit
Uncorrected formation energy ... -2021.2 meV per atom

```
Pm3DyY2S6
1.0
-5.193 4.362 -1.073
-0.491 -4.819 4.866
4.471 4.286 3.085
S Y Pm Dy
6 2 3 1
direct
0.588 0.921 0.762
0.079 0.412 0.238
0.747 0.747 0.239
0.921 0.588 0.762
0.253 0.253 0.761
0.412 0.079 0.238
0.333 0.667 0.000
0.667 0.333 0.000
0.167 0.833 0.500
0.500 0.500 0.500
0.833 0.167 0.500
0.000 0.000 0.000
```

6.
Entry from the Alexandria database: Na2Np2VS6 after structural relaxation (PBE-GGA).

Calculated values
Space-group type ... No. 12
Crystal system ... monoclinic
Magnetization ... 0.8182 μB per atom
Calculated total energy ... -75.9 eV per formula unit
Uncorrected formation energy ... -1228.3 meV per atom

```
Na2Np2VS6
1.0
-4.226 -3.492 -3.632
3.579 -3.042 4.603
-4.664 3.318 4.239
S Na Np V
6 2 2 1
direct
0.614 0.929 0.286
0.386 0.071 0.714
0.929 0.614 0.286
0.235 0.235 0.286
0.765 0.765 0.714
0.071 0.386 0.714
0.831 0.169 0.000
0.169 0.831 0.000
0.335 0.665 0.500
0.665 0.335 0.500
0.000 0.000 0.500
```

7.
Entry from the Alexandria database: Er2GePRh6 after structural relaxation (PBE-GGA).

Calculated values
Space-group type ... No. 59
Crystal system ... orthorhombic
Energy relative to the elements ... -0.6552 eV per atom
Magnetization ... 0.0000 μB per atom
Calculated total energy ... -69.8 eV per formula unit

```
Er2GePRh6
1.0
-4.088 -3.988 -0.147
4.886 -5.088 2.142
-1.893 1.639 8.212
Rh Er P Ge
12 4 2 2
direct
0.261 0.561 0.000
0.500 0.123 0.250
0.000 0.877 0.250
0.237 0.997 0.500
0.763 0.997 0.500
0.263 0.003 0.000
0.739 0.561 0.000
0.737 0.003 0.000
0.761 0.439 0.500
0.239 0.439 0.500
0.000 0.877 0.750
0.500 0.123 0.750
0.500 0.725 0.276
0.000 0.275 0.776
0.500 0.725 0.724
0.000 0.275 0.224
0.500 0.222 0.500
0.000 0.778 0.000
0.000 0.708 0.500
0.500 0.292 0.000
```

8.
Entry from the Alexandria database: MnFeSn3 after structural relaxation (PBE-GGA).

Calculated values
Space-group type ... No. 221
Crystal system ... cubic
Energy relative to the elements ... 0.4875 eV per atom
Magnetization ... 0.7237 μB per atom
Energy relative to the lowest polymorph listed for this composition ... 0.00 eV per formula unit
Calculated total energy ... -27.2 eV per formula unit

```
MnFeSn3
1.0
-3.171 2.951 -2.246
-3.424 -1.195 3.264
1.424 3.697 2.847
Fe Sn Mn
1 3 1
direct
0.000 0.000 0.000
0.500 0.000 0.000
0.000 0.500 0.000
0.000 0.000 0.500
0.500 0.500 0.500
```

Which value of calculated total energy does entry 1 give?
-56.7 eV per formula unit

What is the magnetization in the third record?
0.1039 μB per atom